# 1
VASP calculation (SCAN) on RbNiIO2 at its PBEsol-relaxed geometry.

Magnetic moment, μB/atom: 0.414
VASP energy, eV/atom: -16.247

Cell and atoms, written as CIF:
```
data_RbNiIO2
_cell_length_a 4.152
_cell_length_b 4.152
_cell_length_c 6.863
_cell_angle_alpha 90.00
_cell_angle_beta 90.00
_cell_angle_gamma 90.00
_symmetry_space_group_name_H-M 'P 4/m m m'
_symmetry_Int_Tables_number 123
_symmetry_space_group_name_Hall '-P 4 2'
loop_
_atom_site_label
_atom_site_type_symbol
_atom_site_fract_x
_atom_site_fract_y
_atom_site_fract_z
Rb1 Rb 0.000 0.000 0.000
Ni1 Ni 0.500 0.500 0.500
I1 I 0.000 0.000 0.500
O1 O 0.000 0.500 0.000
```

=====

# 2
VASP calculation (SCAN) on SrNi2Te at its PBEsol-relaxed geometry.

Magnetic moment, μB/atom: 0.000
Offset from the most stable computed form, eV/f.u.: 1.707

Cell and atoms, written as CIF:
```
data_SrNi2Te
_cell_length_a 4.7600
_cell_length_b 4.7600
_cell_length_c 11.0639
_cell_angle_alpha 90.00
_cell_angle_beta 90.00
_cell_angle_gamma 120.00
_symmetry_space_group_name_H-M 'R -3 m'
_symmetry_Int_Tables_number 166
_symmetry_space_group_name_Hall '-R 3 2"'
loop_
_atom_site_label
_atom_site_type_symbol
_atom_site_fract_x
_atom_site_fract_y
_atom_site_fract_z
Sr1 Sr 0.0000 0.0000 0.0000
Ni1 Ni 0.0000 0.0000 0.2686
Te1 Te 0.0000 0.0000 0.5000
```

=====

Calculated values (g/cm3) of mass density for the records, taken in order: 4.25 7.63.